Density functional theory data (PBE-GGA) for a geometry-optimized Ti6AgPd8 structure.

The structure belongs to space group P-3 (No. 147); the cell edges are 7.4538, 7.4538 and 5.3288 Å and the angles 90.00°, 90.00° and 120.00°. The distinct sites, in fractional coordinates, are Ti at (0.0598, 0.4101, 0.1911), Ag at (0.0000, 0.0000, 0.0000), Pd at (0.0261, 0.2978, 0.6666) and Pd at (0.3333, 0.6667, 0.8515).


Density functional theory data (PBE-GGA) for a geometry-optimized YPaPb structure.

The structure belongs to space group P6_3/mmc (No. 194); the cell edges are 5.4708, 5.4708 and 6.2903 Å and the angles 90.00°, 90.00° and 120.00°. The distinct sites, in fractional coordinates, are Y at (0.3333, 0.6667, 0.2500), Pa at (0.0000, 0.0000, 0.0000) and Pb at (0.3333, 0.6667, 0.7500).

As for the offset from the most stable computed form: 0.000 eV/atom.


Formation energy values, unit eV per atom, following the record order: -0.3255, -0.1550.